K4PrNp3S8 | GGA-PBE | relaxed

Properties
V = 436 Å³ per cell

```
data_K4PrNp3S8
_cell_length_a 8.775
_cell_length_b 8.775
_cell_length_c 8.775
_cell_angle_alpha 56.18
_cell_angle_beta 56.18
_cell_angle_gamma 56.18
_symmetry_space_group_name_H-M 'P 1'
_symmetry_Int_Tables_number 1
loop_
_symmetry_equiv_pos_as_xyz
'x,y,z'
loop_
_atom_site_label
_atom_site_fract_x
_atom_site_fract_y
_atom_site_fract_z
_atom_site_occupancy
K1 0.000 0.000 0.000 1
K2 0.000 0.500 0.500 1
K3 0.500 0.000 0.500 1
K4 0.500 0.500 0.000 1
Pr1 0.500 0.500 0.500 1
Np1 0.000 0.000 0.500 1
Np2 0.000 0.500 0.000 1
Np3 0.500 0.000 0.000 1
S1 0.227 0.739 0.739 1
S2 0.232 0.232 0.232 1
S3 0.261 0.261 0.773 1
S4 0.261 0.773 0.261 1
S5 0.739 0.227 0.739 1
S6 0.739 0.739 0.227 1
S7 0.768 0.768 0.768 1
S8 0.773 0.261 0.261 1
```

=====

RbY2BeSb | GGA-PBE | relaxed

Properties
V = 154 Å³ per cell

```
data_RbY2BeSb
_cell_length_a 5.388
_cell_length_b 5.388
_cell_length_c 5.313
_cell_angle_alpha 90.00
_cell_angle_beta 90.00
_cell_angle_gamma 90.00
_symmetry_space_group_name_H-M 'P 1'
_symmetry_Int_Tables_number 1
loop_
_symmetry_equiv_pos_as_xyz
'x,y,z'
loop_
_atom_site_label
_atom_site_fract_x
_atom_site_fract_y
_atom_site_fract_z
_atom_site_occupancy
Rb1 0.000 0.000 0.000 1
Y1 0.000 0.500 0.500 1
Y2 0.500 0.000 0.500 1
Be1 0.000 0.000 0.500 1
Sb1 0.500 0.500 0.000 1
```

=====

In order of appearance, ΔE_f (raw) = -1.50 0.29 eV/atom.
In order of appearance, DFT total energy = -6.56 -4.06 eV/atom.